An optimized crystal structure of La2NbAu, computed with GGA-PBE.

```
La2NbAu
1.0
-4.123 4.123 3.160
4.123 -4.123 3.160
4.123 4.123 -3.160
La Nb Au
4 2 2
direct
0.123 0.625 0.998 La
0.375 0.373 0.498 La
0.627 0.125 0.002 La
0.875 0.877 0.502 La
0.250 0.750 0.500 Nb
0.500 0.500 0.000 Nb
0.000 0.000 0.000 Au
0.750 0.250 0.500 Au
```

## Properties
As for the density of states at the Fermi level: 3.3 states/eV/f.u. The relative energy among the computed polymorphs comes out at 198 meV/atom. The space group is I-42d, No. 122.